Entry 1:
Na2Ga9Cu3: relaxed, PBE.

Output
spin magnetization	0.0	μB/f.u.
energy of formation	-0.0974	eV/atom
space group	No. 15
uncorrected energy	-43.5	eV/f.u.

Geometry as extended XYZ:
```
28
Lattice="6.565 -3.801 0.000 6.565 3.801 0.000 -4.393 0.000 9.735" Properties=species:S:1:pos:R:3 pbc="T T T"
Na 1.072 0.650 2.451
Na -1.125 -0.650 7.319
Na 9.862 0.650 2.417
Na 7.665 -0.650 7.284
Ga 5.471 3.167 0.651
Ga 5.462 3.167 4.217
Ga 1.063 0.628 5.572
Ga 4.081 1.449 2.455
Ga 1.054 0.639 9.101
Ga 3.259 -0.628 0.704
Ga 3.270 0.914 7.301
Ga 6.852 1.449 2.412
Ga 3.250 -0.639 4.233
Ga 5.486 0.639 5.502
Ga 1.885 -1.449 7.323
Ga 5.467 -0.914 2.434
Ga 5.477 0.628 9.031
Ga 7.683 -0.639 0.635
Ga 4.655 -1.449 7.280
Ga 7.674 -0.628 4.164
Ga 3.274 -3.167 5.519
Ga 3.266 -3.167 9.084
Cu 3.282 1.900 0.000
Cu 3.250 1.917 4.883
Cu 3.290 1.917 9.720
Cu 1.086 -1.900 4.868
Cu 5.446 -1.917 0.015
Cu 5.487 -1.917 4.852
```



Entry 2:
Ca2MnMo: relaxed, PBE.

Output
spin magnetization	1.1	μB/f.u.
energy of formation	0.7826	eV/atom
space group	No. 119
uncorrected energy	-20.9	eV/f.u.

Geometry as extended XYZ:
```
4
Lattice="-2.514 2.514 3.546 2.514 -2.514 3.546 2.514 2.514 -3.546" Properties=species:S:1:pos:R:3 pbc="T T T"
Ca 0.000 0.000 0.000
Ca 0.000 2.514 1.773
Mn 2.514 0.000 1.773
Mo 0.000 0.000 3.546
```



Entry 3:
CaZnPd: relaxed, PBE.

Output
spin magnetization	0.0	μB/f.u.
energy of formation	-0.4875	eV/atom
space group	No. 107
uncorrected energy	-9.9	eV/f.u.

Geometry as extended XYZ:
```
3
Lattice="-1.736 1.736 5.036 1.736 -1.736 5.036 1.736 1.736 -5.036" Properties=species:S:1:pos:R:3 pbc="T T T"
Ca 0.000 0.000 0.000
Zn 0.000 0.000 2.972
Pd 0.000 0.000 6.989
```